# KAsIO2 GGA-PBEsol optimized geometry
data_KAsIO2
_cell_length_a 4.4861
_cell_length_b 4.4861
_cell_length_c 6.6740
_cell_angle_alpha 90.00
_cell_angle_beta 90.00
_cell_angle_gamma 90.00
_symmetry_space_group_name_H-M 'P 1'
_symmetry_Int_Tables_number 1
loop_
_symmetry_equiv_pos_as_xyz
'x,y,z'
loop_
_atom_site_label
_atom_site_type_symbol
_atom_site_fract_x
_atom_site_fract_y
_atom_site_fract_z
_atom_site_occupancy
I1 I 0.0000 0.0000 0.5000 1
As1 As 0.5000 0.5000 0.5000 1
K1 K 0.0000 0.0000 0.0000 1
O1 O 0.0000 0.5000 0.0000 1
O2 O 0.5000 0.0000 0.0000 1
# spin magnetization = 3.96 Bohr magnetons per cell
# final energy = -14.160 eV for the cell shown
# mass density = 3.37 g cm⁻³
# volume = 134 Å³/f.u.
# symmetry = No. 123
# density of states at the Fermi level = 5.5 states/eV per cell